Density functional theory data (PBE) for a relaxed structure of Pm9Tm4Tl11.

Cell and atoms, written as CIF:
```
data_Pm9Tm4Tl11
_space_group_name_H-M_alt 'C m m m'
_space_group_IT_number 65
_space_group_name_Hall '-C 2 2'
_cell_length_a 17.8052
_cell_length_b 21.6004
_cell_length_c 3.5915
_cell_angle_alpha 90.00
_cell_angle_beta 90.00
_cell_angle_gamma 90.00
loop_
_atom_site_label
_atom_site_type_symbol
_atom_site_fract_x
_atom_site_fract_y
_atom_site_fract_z
Pm1 Pm 0.0000 0.0000 0.0000
Pm2 Pm 0.1167 0.2414 0.0000
Pm3 Pm 0.1213 0.4134 0.0000
Tm1 Tm 0.1516 0.0841 0.0000
Tl1 Tl 0.0000 0.1340 0.5000
Tl2 Tl 0.0000 0.3305 0.5000
Tl3 Tl 0.0000 0.5000 0.5000
Tl4 Tl 0.2408 0.5000 0.5000
Tl5 Tl 0.2441 0.3263 0.5000
```

Computed properties:
* formation energy: -0.286 eV per atom
* calculated total energy: -187.08 eV per cell
* V: 691 Å³/f.u.

Density functional theory data (PBE) for a relaxed structure of Cr3H12Ru5.

Cell and atoms, written as CIF:
```
data_Cr3H12Ru5
_space_group_name_H-M_alt 'I a -3 d'
_space_group_IT_number 230
_space_group_name_Hall '-I 4bd 2c 3'
_cell_length_a 10.6558
_cell_length_b 10.6558
_cell_length_c 10.6558
_cell_angle_alpha 90.00
_cell_angle_beta 90.00
_cell_angle_gamma 90.00
loop_
_atom_site_label
_atom_site_type_symbol
_atom_site_fract_x
_atom_site_fract_y
_atom_site_fract_z
Cr1 Cr 0.0000 0.2500 0.1250
H1 H 0.0154 0.0711 0.6517
Ru1 Ru 0.0000 0.0000 0.0000
Ru2 Ru 0.0000 0.2500 0.3750
```

Computed properties:
* calculated total energy: -894.91 eV per cell
* V: 151 Å³/f.u.